Compound: Ba2Si3Ge5O18
Source: Alexandria via LeMat-Bulk
Functional: PBE
Structure: relaxed

Computed properties:
The space group is P-6, No. 174. The density comes out at 4.3 g/cm3. Its raw formation energy is -2257 meV/atom.

Lattice parameters (Å, degrees): 6.7732 6.7732 9.8701 90.00 90.00 120.00
With the nearest neighbours (Å) after each atom.
Fractional coordinates of all 28 atoms:
Ba: 0.0000 0.0000 0.2477  6 O 2.76-2.87
Ba: 0.0000 0.0000 0.7523  6 O 2.76-2.87
Si: 0.4576 0.4151 0.0000  4 O 1.62-1.67
Si: 0.5849 0.0425 0.0000  4 O 1.62-1.67
Si: 0.9575 0.5424 0.0000  4 O 1.62-1.67
Ge: 0.3333 0.6667 0.2416  6 O 1.90-1.91
Ge: 0.3333 0.6667 0.7584  6 O 1.90-1.91
Ge: 0.4509 0.0249 0.5000  4 O 1.75-1.80
Ge: 0.5740 0.5491 0.5000  4 O 1.75-1.80
Ge: 0.9751 0.4260 0.5000  4 O 1.75-1.80
O: 0.0973 0.6666 0.1372  1 Si 1.62
O: 0.0973 0.6666 0.8628  1 Si 1.62
O: 0.1141 0.4226 0.3512  2 Ge 1.75-1.91
O: 0.1141 0.4226 0.6488  2 Ge 1.75-1.91
O: 0.3085 0.8859 0.3512  2 Ge 1.75-1.91
O: 0.3085 0.8859 0.6488  2 Ge 1.75-1.91
O: 0.3334 0.4307 0.1372  1 Si 1.62
O: 0.3334 0.4307 0.8628  1 Si 1.62
O: 0.3833 0.2507 0.5000  2 Ge 1.77-1.80
O: 0.4109 0.1485 0.0000  2 Si 1.66-1.67
O: 0.5693 0.9027 0.1372  1 Si 1.62
O: 0.5693 0.9027 0.8628  1 Si 1.62
O: 0.5774 0.6915 0.3512  2 Ge 1.75-1.91
O: 0.5774 0.6915 0.6488  2 Ge 1.75-1.91
O: 0.7375 0.5891 0.0000  2 Si 1.66-1.67
O: 0.7493 0.1326 0.5000  2 Ge 1.77-1.80
O: 0.8515 0.2625 0.0000  2 Si 1.66-1.67
O: 0.8674 0.6167 0.5000  2 Ge 1.77-1.80